1.
# Pr3Nd4Dy8 PBE relaxed
# M_tot in Bohr magnetons per cell: 0.0
# Crystal system: monoclinic
# ΔE_f in eV/atom: 0.353
data_Pr3Nd4Dy8
_cell_length_a 13.5545
_cell_length_b 12.9393
_cell_length_c 6.8362
_cell_angle_alpha 90.00
_cell_angle_beta 120.27
_cell_angle_gamma 90.00
_space_group_name_H-M_alt 'C 1 2/m 1'
_space_group_IT_number 12
_space_group_name_Hall '-C 2y'
loop_
_atom_site_label
_atom_site_fract_x
_atom_site_fract_y
_atom_site_fract_z
_atom_site_occupancy
Pr1 0.0000 0.0000 0.0000 1
Pr2 0.2500 0.2500 0.5000 1
Nd1 0.0000 0.5000 0.0000 1
Nd2 0.0000 0.5000 0.5000 1
Nd3 0.2500 0.2500 0.0000 1
Dy1 0.0000 0.1403 0.5000 1
Dy2 0.0000 0.2432 0.0000 1
Dy3 0.2321 0.0000 0.4945 1
Dy4 0.2327 0.0000 0.9724 1

=====

2.
# TbNd2Sb3Rh4 PBE relaxed
# M_tot in Bohr magnetons per cell: 0.0
# Formation energy from raw total energies in kJ/mol of formula units: -826
# Crystal system: tetragonal
data_TbNd2Sb3Rh4
_cell_length_a 4.4068
_cell_length_b 4.4068
_cell_length_c 11.4493
_cell_angle_alpha 90.00
_cell_angle_beta 90.00
_cell_angle_gamma 90.00
_space_group_name_H-M_alt 'P -4 m 2'
_space_group_IT_number 115
_space_group_name_Hall 'P -4 -2'
loop_
_atom_site_label
_atom_site_fract_x
_atom_site_fract_y
_atom_site_fract_z
_atom_site_occupancy
Tb1 0.0000 0.0000 0.0000 1
Nd1 0.0000 0.5000 0.7254 1
Sb1 0.0000 0.5000 0.3698 1
Sb2 0.5000 0.5000 0.0000 1
Rh1 0.0000 0.0000 0.5000 1
Rh2 0.0000 0.5000 0.1456 1
Rh3 0.5000 0.5000 0.5000 1

=====

3.
# Gd3DyRh PBE relaxed
# M_tot in Bohr magnetons per cell: 22.5
# Crystal system: cubic
# ΔE_f in eV/atom: -0.193
data_Gd3DyRh
_cell_length_a 5.4486
_cell_length_b 5.4486
_cell_length_c 5.4486
_cell_angle_alpha 90.00
_cell_angle_beta 90.00
_cell_angle_gamma 90.00
_space_group_name_H-M_alt 'P m -3 m'
_space_group_IT_number 221
_space_group_name_Hall '-P 4 2 3'
loop_
_atom_site_label
_atom_site_fract_x
_atom_site_fract_y
_atom_site_fract_z
_atom_site_occupancy
Gd1 0.0000 0.0000 0.5000 1
Dy1 0.5000 0.5000 0.5000 1
Rh1 0.0000 0.0000 0.0000 1